(1)
This record from the Alexandria database describes a geometry-optimized ErTh2Si3Pt4 structure. The functional is GGA-PBE.

Summary:
formation energy from raw total energies: -1.070 eV/atom
N(E_F): 7.08 states/eV/cell
symmetry: P-4m2

abc: 4.2381 4.2381 10.9842
angles: 90.00 90.00 90.00
With the nearest neighbours (Å) after each atom.
Fractional coordinates of all 10 atoms:
1 Er 0.5000 0.5000 0.5000  4 Pt 2.75, 4 Si 3.00
2 Th 0.5000 0.0000 0.2252  4 Si 3.21, 8 Pt 3.25-3.26
3 Th 0.0000 0.5000 0.7748  4 Si 3.21, 8 Pt 3.25-3.26
4 Si 0.0000 0.0000 0.5000  4 Pt 2.75, 4 Er 3.00
5 Si 0.5000 0.0000 0.8788  5 Pt 2.41-2.50
6 Si 0.0000 0.5000 0.1212  5 Pt 2.41-2.50
7 Pt 0.5000 0.5000 0.0000  4 Si 2.50
8 Pt 0.0000 0.0000 0.0000  4 Si 2.50
9 Pt 0.5000 0.0000 0.6597  1 Si 2.41
10 Pt 0.0000 0.5000 0.3403  1 Si 2.41

(2)
This record from the Alexandria database describes a geometry-optimized ErThSi2Pt5 structure. The functional is GGA-PBE.

Summary:
formation energy from raw total energies: -1.078 eV/atom
N(E_F): 3.87 states/eV/cell
symmetry: P4/mmm

abc: 4.2749 4.2749 8.9339
angles: 90.00 90.00 90.00
With the nearest neighbours (Å) after each atom.
Fractional coordinates of all 9 atoms:
1 Er 0.0000 0.0000 0.0000  8 Pt 3.15, 8 Si 3.24
2 Th 0.0000 0.0000 0.5000  12 Pt 3.02-3.03
3 Si 0.5000 0.5000 0.1305  1 Si 2.33, 4 Pt 2.43
4 Si 0.5000 0.5000 0.8695  1 Si 2.33, 4 Pt 2.43
5 Pt 0.0000 0.5000 0.2596  2 Si 2.43
6 Pt 0.5000 0.0000 0.2596  2 Si 2.43
7 Pt 0.0000 0.5000 0.7404  2 Si 2.43
8 Pt 0.5000 0.0000 0.7404  2 Si 2.43
9 Pt 0.5000 0.5000 0.5000  4 Th 3.02, 8 Pt 3.03, 2 Si 3.30

(3)
This record from the Alexandria database describes a geometry-optimized ErTh2Si3Pt12 structure. The functional is GGA-PBE.

Summary:
formation energy from raw total energies: -0.624 eV/atom
N(E_F): 7.80 states/eV/cell
symmetry: R-3m

abc: 7.7504 7.7504 7.7504
angles: 64.76 64.76 64.76
With the nearest neighbours (Å) after each atom.
Fractional coordinates of all 18 atoms:
1 Er 0.0000 0.0000 0.0000  6 Pt 2.71
2 Th 0.6023 0.6023 0.6023  6 Pt 2.84-2.90
3 Th 0.3977 0.3977 0.3977  6 Pt 2.84-2.90
4 Si 0.5000 0.0000 0.0000  6 Pt 2.38-2.39
5 Si 0.0000 0.5000 0.0000  6 Pt 2.38-2.39
6 Si 0.0000 0.0000 0.5000  6 Pt 2.38-2.39
7 Pt 0.3516 0.3516 0.8971  2 Si 2.38
8 Pt 0.8538 0.8538 0.4011  1 Si 2.39
9 Pt 0.4011 0.8538 0.8538  1 Si 2.39
10 Pt 0.8971 0.3516 0.3516  2 Si 2.38
11 Pt 0.8538 0.4011 0.8538  1 Si 2.39
12 Pt 0.3516 0.8971 0.3516  2 Si 2.38
13 Pt 0.6484 0.6484 0.1029  2 Si 2.38
14 Pt 0.1462 0.1462 0.5989  1 Si 2.39
15 Pt 0.5989 0.1462 0.1462  1 Si 2.39
16 Pt 0.1029 0.6484 0.6484  2 Si 2.38
17 Pt 0.1462 0.5989 0.1462  1 Si 2.39
18 Pt 0.6484 0.1029 0.6484  2 Si 2.38

(4)
This record from the Alexandria database describes a geometry-optimized Er2TmSi3Pt4 structure. The functional is GGA-PBE.

Summary:
formation energy from raw total energies: -1.059 eV/atom
N(E_F): 7.17 states/eV/cell
symmetry: P-4m2

abc: 4.1255 4.1255 11.0571
angles: 90.00 90.00 90.00
With the nearest neighbours (Å) after each atom.
Fractional coordinates of all 10 atoms:
1 Er 0.5000 0.0000 0.2244  4 Si 3.12, 8 Pt 3.18-3.23
2 Er 0.0000 0.5000 0.7756  4 Si 3.12, 8 Pt 3.18-3.23
3 Tm 0.5000 0.5000 0.5000  4 Pt 2.73, 4 Si 2.92
4 Si 0.0000 0.0000 0.5000  4 Pt 2.73, 4 Tm 2.92
5 Si 0.5000 0.0000 0.8749  5 Pt 2.36-2.48
6 Si 0.0000 0.5000 0.1251  5 Pt 2.36-2.48
7 Pt 0.5000 0.5000 0.0000  4 Si 2.48
8 Pt 0.0000 0.0000 0.0000  4 Si 2.48
9 Pt 0.5000 0.0000 0.6617  1 Si 2.36
10 Pt 0.0000 0.5000 0.3383  1 Si 2.36